## KCaLaWO6 (GGA+U)

Data for a relaxed structure of KCaLaWO6.

## Properties
Total DFT energy (no corrections), eV per atom: -7.03

a = 5.901 Å, b = 5.901 Å, c = 5.901 Å
α = 60.00°, β = 60.00°, γ = 60.00°
Sites, in units of the cell vectors:
K (0.000, 0.000, 0.000)
Ca (0.750, 0.750, 0.750)
La (0.500, 0.500, 0.500)
W (0.250, 0.250, 0.250)
O (0.017, 0.017, 0.483)
O (0.017, 0.483, 0.017)
O (0.017, 0.483, 0.483)
O (0.483, 0.017, 0.017)
O (0.483, 0.017, 0.483)
O (0.483, 0.483, 0.017)